(a)
DFT (PBE-GGA) results for DyHo2Ga after structural relaxation. Values from VASP.

The structure in Quantum ESPRESSO input format:
```
&SYSTEM
  ibrav = 0, nat = 4, ntyp = 3
/
ATOMIC_SPECIES
Dy 162.50 Dy.upf
Ho 164.93 Ho.upf
Ga 69.72 Ga.upf
CELL_PARAMETERS angstrom
1.7961 1.0370 10.1431
-1.7961 1.0370 10.1431
0.0000 -2.0740 10.1431
ATOMIC_POSITIONS crystal
Dy 0.0000 0.0000 0.0000
Ho 0.2381 0.2381 0.2381
Ho 0.4291 0.4291 0.4291
Ga 0.8340 0.8340 0.8340
```

Values from the calculation:
- crystal system = trigonal
- total magnetization (μB/atom) = 0.161
- space-group type = R3m
- volume (Å³/cell) = 113.35



(b)
DFT (PBE-GGA) results for DyHo2Ga after structural relaxation. Values from VASP.

The structure in Quantum ESPRESSO input format:
```
&SYSTEM
  ibrav = 0, nat = 8, ntyp = 3
/
ATOMIC_SPECIES
Dy 162.50 Dy.upf
Ho 164.93 Ho.upf
Ga 69.72 Ga.upf
CELL_PARAMETERS angstrom
1.8141 -6.3314 0.0000
1.8141 6.3314 0.0000
0.0000 0.0000 9.5763
ATOMIC_POSITIONS crystal
Dy 0.0535 0.9465 0.7500
Dy 0.9465 0.0535 0.2500
Ho 0.3647 0.6353 0.5464
Ho 0.3647 0.6353 0.9536
Ho 0.6353 0.3647 0.0464
Ho 0.6353 0.3647 0.4536
Ga 0.2535 0.7465 0.2500
Ga 0.7465 0.2535 0.7500
```

Values from the calculation:
- crystal system = orthorhombic
- total magnetization (μB/atom) = 0.052
- space-group type = Cmcm
- volume (Å³/cell) = 219.99



(c)
DFT (PBE-GGA) results for DyHo2Ga after structural relaxation. Values from VASP.

The structure in Quantum ESPRESSO input format:
```
&SYSTEM
  ibrav = 0, nat = 4, ntyp = 3
/
ATOMIC_SPECIES
Dy 162.50 Dy.upf
Ho 164.93 Ho.upf
Ga 69.72 Ga.upf
CELL_PARAMETERS angstrom
4.7080 0.0000 0.0000
0.0000 4.7080 0.0000
0.0000 0.0000 4.7061
ATOMIC_POSITIONS crystal
Dy 0.0000 0.0000 0.0000
Ho 0.0000 0.5000 0.5000
Ho 0.5000 0.0000 0.5000
Ga 0.5000 0.5000 0.0000
```

Values from the calculation:
- crystal system = tetragonal
- total magnetization (μB/atom) = 0.002
- space-group type = P4/mmm
- volume (Å³/cell) = 104.31



We find (b) to be the most stable, with the next structure 0.039 eV/atom higher.



(a)
DFT (PBE-GGA) results for Dy3HoGa4 after structural relaxation. Values from VASP.

The structure in Quantum ESPRESSO input format:
```
&SYSTEM
  ibrav = 0, nat = 8, ntyp = 3
/
ATOMIC_SPECIES
Dy 162.50 Dy.upf
Ho 164.93 Ho.upf
Ga 69.72 Ga.upf
CELL_PARAMETERS angstrom
2.5188 1.4542 8.2500
-2.5188 1.4542 8.2500
0.0000 -2.9084 8.2500
ATOMIC_POSITIONS crystal
Dy 0.0000 0.0000 0.0000
Dy 0.2499 0.2499 0.2499
Dy 0.7501 0.7501 0.7501
Ho 0.5000 0.5000 0.5000
Ga 0.1252 0.1252 0.1252
Ga 0.3752 0.3752 0.3752
Ga 0.6248 0.6248 0.6248
Ga 0.8748 0.8748 0.8748
```

Values from the calculation:
- crystal system = trigonal
- total magnetization (μB/atom) = 0.000
- space-group type = R-3m
- volume (Å³/cell) = 181.31



(b)
DFT (PBE-GGA) results for Dy3HoGa4 after structural relaxation. Values from VASP.

The structure in Quantum ESPRESSO input format:
```
&SYSTEM
  ibrav = 0, nat = 8, ntyp = 3
/
ATOMIC_SPECIES
Dy 162.50 Dy.upf
Ho 164.93 Ho.upf
Ga 69.72 Ga.upf
CELL_PARAMETERS angstrom
-1.7919 3.3624 8.2817
1.7919 -3.3624 8.2817
1.7919 3.3624 -8.2817
ATOMIC_POSITIONS crystal
Dy 0.0000 0.0000 0.0000
Dy 0.2975 0.7975 0.5000
Dy 0.7025 0.2025 0.5000
Ho 0.5000 0.5000 0.0000
Ga 0.0639 0.3707 0.6932
Ga 0.3225 0.6293 0.6932
Ga 0.6775 0.3707 0.3068
Ga 0.9361 0.6293 0.3068
```

Values from the calculation:
- crystal system = orthorhombic
- total magnetization (μB/atom) = 0.000
- space-group type = Immm
- volume (Å³/cell) = 199.60



We find (a) to be the most stable, with the next structure 0.118 eV/atom higher.



(a)
DFT (PBE-GGA) results for DyHoGa4 after structural relaxation. Values from VASP.

The structure in Quantum ESPRESSO input format:
```
&SYSTEM
  ibrav = 0, nat = 6, ntyp = 3
/
ATOMIC_SPECIES
Dy 162.50 Dy.upf
Ho 164.93 Ho.upf
Ga 69.72 Ga.upf
CELL_PARAMETERS angstrom
-2.1248 3.4829 4.1082
2.1248 -3.4829 4.1082
2.1248 3.4829 -4.1082
ATOMIC_POSITIONS crystal
Dy 0.0000 0.0000 0.0000
Ho 0.6206 0.1206 0.5000
Ga 0.0222 0.7211 0.3011
Ga 0.2008 0.3987 0.8020
Ga 0.4201 0.7211 0.6989
Ga 0.5967 0.3987 0.1980
```

Values from the calculation:
- crystal system = orthorhombic
- total magnetization (μB/atom) = 0.000
- space-group type = Imm2
- volume (Å³/cell) = 121.61



(b)
DFT (PBE-GGA) results for DyHoGa4 after structural relaxation. Values from VASP.

The structure in Quantum ESPRESSO input format:
```
&SYSTEM
  ibrav = 0, nat = 6, ntyp = 3
/
ATOMIC_SPECIES
Dy 162.50 Dy.upf
Ho 164.93 Ho.upf
Ga 69.72 Ga.upf
CELL_PARAMETERS angstrom
0.0000 3.8881 3.8881
3.8881 0.0000 3.8881
3.8881 3.8881 0.0000
ATOMIC_POSITIONS crystal
Dy 0.0000 0.0000 0.0000
Ho 0.2500 0.2500 0.2500
Ga 0.1250 0.6250 0.6250
Ga 0.6250 0.1250 0.6250
Ga 0.6250 0.6250 0.1250
Ga 0.6250 0.6250 0.6250
```

Values from the calculation:
- crystal system = cubic
- total magnetization (μB/atom) = 0.000
- space-group type = F-43m
- volume (Å³/cell) = 117.55



We find (a) to be the most stable, with the next structure 0.080 eV/atom higher.



(a)
DFT (PBE-GGA) results for DyHoGa2 after structural relaxation. Values from VASP.

The structure in Quantum ESPRESSO input format:
```
&SYSTEM
  ibrav = 0, nat = 4, ntyp = 3
/
ATOMIC_SPECIES
Dy 162.50 Dy.upf
Ho 164.93 Ho.upf
Ga 69.72 Ga.upf
CELL_PARAMETERS angstrom
3.5639 0.0000 0.0000
0.0000 3.5639 0.0000
0.0000 0.0000 7.1290
ATOMIC_POSITIONS crystal
Dy 0.0000 0.0000 0.0000
Ho 0.0000 0.0000 0.5000
Ga 0.5000 0.5000 0.2517
Ga 0.5000 0.5000 0.7483
```

Values from the calculation:
- crystal system = tetragonal
- total magnetization (μB/atom) = 0.000
- space-group type = P4/mmm
- volume (Å³/cell) = 90.55



(b)
DFT (PBE-GGA) results for DyHoGa2 after structural relaxation. Values from VASP.

The structure in Quantum ESPRESSO input format:
```
&SYSTEM
  ibrav = 0, nat = 4, ntyp = 3
/
ATOMIC_SPECIES
Dy 162.50 Dy.upf
Ho 164.93 Ho.upf
Ga 69.72 Ga.upf
CELL_PARAMETERS angstrom
1.8181 1.0497 8.6755
-1.8181 1.0497 8.6755
0.0000 -2.0993 8.6755
ATOMIC_POSITIONS crystal
Dy 0.0000 0.0000 0.0000
Ho 0.5000 0.5000 0.5000
Ga 0.2497 0.2497 0.2497
Ga 0.7503 0.7503 0.7503
```

Values from the calculation:
- crystal system = trigonal
- total magnetization (μB/atom) = 0.000
- space-group type = R-3m
- volume (Å³/cell) = 99.34



We find (a) to be the most stable, with the next structure 0.159 eV/atom higher.